Arrangement a

# Nd2ZrAg

Crystalline Nd2ZrAg at its relaxed geometry (PBE, the Alexandria database).

a b c (Å): 3.522 3.522 8.877
angles (deg): 90.00 90.00 90.00
Fractional positions:
Zr  0.500  0.500  0.500
Ag  0.500  0.500  0.000
Nd  0.000  0.000  0.762
Nd  0.000  0.000  0.238

Results
total magnetic moment = 0.000 μB/f.u.
theoretical density = 7.35 g cm⁻³

Arrangement b

# Nd2ZrAg

Crystalline Nd2ZrAg at its relaxed geometry (PBE, the Alexandria database).

a b c (Å): 3.289 3.289 11.864
angles (deg): 82.03 82.03 60.00
Fractional positions:
Zr  0.000  0.000  0.000
Nd  0.092  0.092  0.725
Nd  0.908  0.908  0.275
Ag  0.500  0.500  0.500

Results
total magnetic moment = 0.000 μB/f.u.
theoretical density = 7.38 g cm⁻³

Tell me which of them is the most stable. Sure, it is arrangement a.